[1]
Material: CuSnSb2Te
Method: DFT, PBE
State: optimized geometry

a = 5.6690 Å, b = 5.6690 Å, c = 5.6740 Å
α = 90.00°, β = 90.00°, γ = 90.00°
Element x y z (fractional)
Cu 0.0000 0.0000 0.0000
Sn 0.5000 0.5000 0.5000
Sb 0.0000 0.5000 0.5000
Sb 0.5000 0.0000 0.5000
Te 0.5000 0.5000 0.0000

The value obtained for the spin magnetization is 0.00 Bohr magnetons per cell. The volume is 36.5 Å³/atom. Its total energy is -14.217 eV per cell. For the energy above the most stable polymorph in this dataset, the calculation gives 703.3 meV per atom. The raw formation energy comes out at 1.05 eV/atom.

---

[2]
Material: PmTiSnO6
Method: DFT, PBE
State: optimized geometry

a = 5.3536 Å, b = 5.3536 Å, c = 9.9855 Å
α = 90.00°, β = 90.00°, γ = 120.00°
Element x y z (fractional)
Pm 0.0000 0.0000 0.0000
Pm 0.0000 0.0000 0.5000
Ti 0.3333 0.6667 0.2500
Ti 0.6667 0.3333 0.7500
Sn 0.3333 0.6667 0.7500
Sn 0.6667 0.3333 0.2500
O 0.0150 0.3689 0.1401
O 0.0150 0.6460 0.3599
O 0.3540 0.3689 0.3599
O 0.3540 0.9850 0.1401
O 0.3689 0.0150 0.6401
O 0.3689 0.3540 0.8599
O 0.6311 0.6460 0.1401
O 0.6311 0.9850 0.3599
O 0.6460 0.0150 0.8599
O 0.6460 0.6311 0.6401
O 0.9850 0.3540 0.6401
O 0.9850 0.6311 0.8599

The value obtained for the spin magnetization is 2.09 Bohr magnetons per cell. The volume is 13.8 Å³/atom. Its total energy is -135.794 eV per cell. The raw formation energy comes out at -2.39 eV/atom.

---

[3]
Material: Ba3Ti2NbO9
Method: DFT, PBE
State: optimized geometry

a = 5.7654 Å, b = 5.7654 Å, c = 7.0661 Å
α = 90.00°, β = 90.00°, γ = 120.00°
Element x y z (fractional)
Ba 0.0000 0.0000 0.0000
Ba 0.3333 0.6667 0.6693
Ba 0.6667 0.3333 0.3307
Ti 0.3333 0.6667 0.1590
Ti 0.6667 0.3333 0.8410
Nb 0.0000 0.0000 0.5000
O 0.0000 0.5000 0.0000
O 0.1675 0.3350 0.3320
O 0.1675 0.8325 0.3320
O 0.3350 0.1675 0.6680
O 0.5000 0.0000 0.0000
O 0.5000 0.5000 0.0000
O 0.6650 0.8325 0.3320
O 0.8325 0.1675 0.6680
O 0.8325 0.6650 0.6680

The value obtained for the spin magnetization is 0.00 Bohr magnetons per cell. The volume is 13.6 Å³/atom. Its total energy is -120.906 eV per cell. The raw formation energy comes out at -2.98 eV/atom.